1.
{
  "formula": "Pr3Ni2Ge2",
  "functional": "PBE",
  "state": "relaxed",
  "cell": [[4.2583, 0.0000, 0.0000], [0.0000, 4.2991, 0.0000], [-2.1291, -2.1496, 8.8339]],
  "species": ["Pr", "Pr", "Pr", "Ni", "Ni", "Ge", "Ge"],
  "frac_coords": [[0.3213, 0.8213, 0.6425], [0.6787, 0.1787, 0.3575], [0.0000, 0.0000, 0.0000], [0.4325, 0.4325, 0.8650], [0.5675, 0.5675, 0.1350], [0.1380, 0.6380, 0.2760], [0.8620, 0.3620, 0.7240]],
  "total_magnetization_mub_per_fu": 0.00,
  "rho_g_cm3": 7.0,
  "e_tot_ev_per_atom": -5.6430,
  "delta_e_f_kj_per_mol_atoms": -60.17
}

---

2.
{
  "formula": "CaY2Pu3Te6",
  "functional": "PBE",
  "state": "relaxed",
  "cell": [[4.4087, 0.0000, 0.0000], [0.0000, 8.8750, 0.2924], [-2.2043, -2.5591, 9.3072]],
  "species": ["Te", "Te", "Te", "Te", "Te", "Te", "Y", "Y", "Ca", "Pu", "Pu", "Pu"],
  "frac_coords": [[0.6672, 0.5823, 0.3344], [0.0023, 0.2504, 0.0045], [0.3328, 0.4177, 0.6656], [0.3330, 0.9115, 0.6659], [0.9977, 0.7496, 0.9955], [0.6670, 0.0885, 0.3341], [0.8320, 0.6631, 0.6640], [0.1680, 0.3369, 0.3360], [0.5000, 0.0000, 0.0000], [0.5000, 0.5000, 0.0000], [0.1661, 0.8336, 0.3321], [0.8339, 0.1664, 0.6679]],
  "total_magnetization_mub_per_fu": 17.97,
  "rho_g_cm3": 7.8,
  "e_tot_ev_per_atom": -7.6581,
  "e_form_raw_mev_per_atom": -1260
}

---

3.
{
  "formula": "FeOsRh2",
  "functional": "PBE",
  "state": "relaxed",
  "cell": [[4.6442, 0.0085, 0.0000], [1.5378, 4.3822, 0.0000], [-3.0910, -2.1954, 2.6823]],
  "species": ["Os", "Rh", "Rh", "Fe"],
  "frac_coords": [[0.7500, 0.2500, 0.5000], [0.2500, 0.7500, 0.5000], [0.0000, 0.0000, 0.0000], [0.5000, 0.5000, 0.0000]],
  "total_magnetization_mub_per_fu": 2.54,
  "rho_g_cm3": 13.8,
  "e_tot_ev_per_atom": -8.5245,
  "delta_e_f_kj_per_mol_atoms": 7.17
}

---

4.
{
  "formula": "BaScW",
  "functional": "PBE",
  "state": "relaxed",
  "cell": [[3.2242, 0.0000, 0.0000], [-1.6121, 2.7922, 0.0000], [0.0000, 0.0000, 8.5775]],
  "species": ["W", "Ba", "Sc"],
  "frac_coords": [[0.3333, 0.6667, 0.6387], [0.0000, 0.0000, 0.9747], [0.6667, 0.3333, 0.3865]],
  "total_magnetization_mub_per_fu": 0.00,
  "rho_g_cm3": 7.9,
  "e_tot_ev_per_atom": -6.0604,
  "delta_e_f_kj_per_mol_atoms": 97.33
}

---

5.
{
  "formula": "ReH2CBr",
  "functional": "PBE",
  "state": "relaxed",
  "cell": [[-3.0486, -0.0659, -2.2084], [-2.3177, -1.1634, 3.2341], [-0.6712, 3.6131, 0.8187]],
  "species": ["C", "H", "H", "Br", "Re"],
  "frac_coords": [[0.0000, 0.5000, 0.0000], [0.0000, 0.0000, 0.5000], [0.5000, 0.0000, 0.0000], [0.5000, 0.5000, 0.5000], [0.0000, 0.0000, 0.0000]],
  "total_magnetization_mub_per_fu": 1.98,
  "rho_g_cm3": 7.9,
  "e_tot_ev_per_atom": -4.7908
}

---

6.
{
  "formula": "TlRhBr2",
  "functional": "PBE",
  "state": "relaxed",
  "cell": [[-2.7212, 0.2450, -2.5159], [4.0036, -2.9416, -4.6168], [0.9037, -6.5329, -1.6137]],
  "species": ["Rh", "Br", "Br", "Tl"],
  "frac_coords": [[0.5000, 0.2500, 0.2500], [0.0000, 0.1123, 0.1114], [0.0000, 0.3877, 0.3886], [0.5000, 0.7500, 0.7500]],
  "total_magnetization_mub_per_fu": 0.00,
  "rho_g_cm3": 6.0,
  "e_tot_ev_per_atom": -3.5634,
  "e_form_raw_mev_per_atom": -298
}